[1]
# GGA-PBE Ru2PtRhN, optimized geometry
data_Ru2PtRhN
_space_group_name_H-M_alt 'P 1'
_space_group_IT_number 1
_space_group_name_Hall 'P 1'
_cell_length_a 4.0142
_cell_length_b 4.0142
_cell_length_c 4.1060
_cell_angle_alpha 90.00
_cell_angle_beta 90.00
_cell_angle_gamma 90.00
loop_
_atom_site_label
_atom_site_type_symbol
_atom_site_fract_x
_atom_site_fract_y
_atom_site_fract_z
Ru1 Ru 0.0000 0.5000 0.0000
Ru2 Ru 0.5000 0.0000 0.0000
Pt1 Pt 0.0000 0.0000 0.5000
Rh1 Rh 0.5000 0.5000 0.5000
N1 N 0.5000 0.5000 0.0000
# Space group   No. 123

=====

[2]
# GGA-PBE PtRhS2N, optimized geometry
data_PtRhS2N
_space_group_name_H-M_alt 'P 1'
_space_group_IT_number 1
_space_group_name_Hall 'P 1'
_cell_length_a 4.8826
_cell_length_b 4.8826
_cell_length_c 3.6182
_cell_angle_alpha 90.00
_cell_angle_beta 90.00
_cell_angle_gamma 90.00
loop_
_atom_site_label
_atom_site_type_symbol
_atom_site_fract_x
_atom_site_fract_y
_atom_site_fract_z
Pt1 Pt 0.0000 0.0000 0.0000
Rh1 Rh 0.5000 0.5000 0.5000
S1 S 0.0000 0.5000 0.0000
S2 S 0.5000 0.0000 0.0000
N1 N 0.0000 0.0000 0.5000
# Space group   No. 123
# Offset from the most stable computed form   0.161 eV/atom

=====

[3]
# GGA-PBE PtRhS2N, optimized geometry
data_PtRhS2N
_space_group_name_H-M_alt 'P 1'
_space_group_IT_number 1
_space_group_name_Hall 'P 1'
_cell_length_a 4.8037
_cell_length_b 4.8037
_cell_length_c 3.5800
_cell_angle_alpha 90.00
_cell_angle_beta 90.00
_cell_angle_gamma 90.00
loop_
_atom_site_label
_atom_site_type_symbol
_atom_site_fract_x
_atom_site_fract_y
_atom_site_fract_z
Pt1 Pt 0.0000 0.0000 0.0000
Rh1 Rh 0.5000 0.5000 0.5000
S1 S 0.0000 0.5000 0.5000
S2 S 0.5000 0.0000 0.5000
N1 N 0.5000 0.5000 0.0000
# Space group   No. 123
# Offset from the most stable computed form   0.000 eV/atom

=====

[4]
# GGA-PBE PtRhSeN2, optimized geometry
data_PtRhSeN2
_space_group_name_H-M_alt 'P 1'
_space_group_IT_number 1
_space_group_name_Hall 'P 1'
_cell_length_a 3.7168
_cell_length_b 3.7168
_cell_length_c 5.9292
_cell_angle_alpha 90.00
_cell_angle_beta 90.00
_cell_angle_gamma 90.00
loop_
_atom_site_label
_atom_site_type_symbol
_atom_site_fract_x
_atom_site_fract_y
_atom_site_fract_z
Pt1 Pt 0.0000 0.0000 0.0000
Rh1 Rh 0.5000 0.5000 0.5000
Se1 Se 0.5000 0.5000 0.0000
N1 N 0.0000 0.5000 0.5000
N2 N 0.5000 0.0000 0.5000
# Space group   No. 123
# Offset from the most stable computed form   0.000 eV/atom

=====

[5]
# GGA-PBE PtRhSeN2, optimized geometry
data_PtRhSeN2
_space_group_name_H-M_alt 'P 1'
_space_group_IT_number 1
_space_group_name_Hall 'P 1'
_cell_length_a 3.6769
_cell_length_b 3.6769
_cell_length_c 8.1337
_cell_angle_alpha 90.00
_cell_angle_beta 90.00
_cell_angle_gamma 90.00
loop_
_atom_site_label
_atom_site_type_symbol
_atom_site_fract_x
_atom_site_fract_y
_atom_site_fract_z
Pt1 Pt 0.0000 0.0000 0.0000
Rh1 Rh 0.5000 0.5000 0.5000
Se1 Se 0.0000 0.0000 0.5000
N1 N 0.0000 0.5000 0.0000
N2 N 0.5000 0.0000 0.0000
# Space group   No. 123
# Offset from the most stable computed form   0.113 eV/atom

=====

[6]
# GGA-PBE Sr2PtRhN, optimized geometry
data_Sr2PtRhN
_space_group_name_H-M_alt 'P 1'
_space_group_IT_number 1
_space_group_name_Hall 'P 1'
_cell_length_a 5.3895
_cell_length_b 5.3895
_cell_length_c 3.7695
_cell_angle_alpha 90.00
_cell_angle_beta 90.00
_cell_angle_gamma 90.00
loop_
_atom_site_label
_atom_site_type_symbol
_atom_site_fract_x
_atom_site_fract_y
_atom_site_fract_z
Sr1 Sr 0.0000 0.5000 0.0000
Sr2 Sr 0.5000 0.0000 0.0000
Pt1 Pt 0.0000 0.0000 0.5000
Rh1 Rh 0.5000 0.5000 0.5000
N1 N 0.5000 0.5000 0.0000
# Space group   No. 123

=====

[7]
# GGA-PBE TcPtRh2N, optimized geometry
data_TcPtRh2N
_space_group_name_H-M_alt 'P 1'
_space_group_IT_number 1
_space_group_name_Hall 'P 1'
_cell_length_a 4.1000
_cell_length_b 4.1000
_cell_length_c 3.9845
_cell_angle_alpha 90.00
_cell_angle_beta 90.00
_cell_angle_gamma 90.00
loop_
_atom_site_label
_atom_site_type_symbol
_atom_site_fract_x
_atom_site_fract_y
_atom_site_fract_z
Tc1 Tc 0.0000 0.0000 0.0000
Pt1 Pt 0.5000 0.5000 0.0000
Rh1 Rh 0.0000 0.5000 0.5000
Rh2 Rh 0.5000 0.0000 0.5000
N1 N 0.0000 0.0000 0.5000
# Space group   No. 123

=====

[8]
# GGA-PBE TePtRhN2, optimized geometry
data_TePtRhN2
_space_group_name_H-M_alt 'P 1'
_space_group_IT_number 1
_space_group_name_Hall 'P 1'
_cell_length_a 3.7825
_cell_length_b 3.7825
_cell_length_c 6.1374
_cell_angle_alpha 90.00
_cell_angle_beta 90.00
_cell_angle_gamma 90.00
loop_
_atom_site_label
_atom_site_type_symbol
_atom_site_fract_x
_atom_site_fract_y
_atom_site_fract_z
Te1 Te 0.0000 0.0000 0.0000
Pt1 Pt 0.5000 0.5000 0.0000
Rh1 Rh 0.0000 0.0000 0.5000
N1 N 0.0000 0.5000 0.5000
N2 N 0.5000 0.0000 0.5000
# Space group   No. 123
# Offset from the most stable computed form   0.000 eV/atom

=====

[9]
# GGA-PBE Te2PtRhN, optimized geometry
data_Te2PtRhN
_space_group_name_H-M_alt 'P 1'
_space_group_IT_number 1
_space_group_name_Hall 'P 1'
_cell_length_a 5.4559
_cell_length_b 5.4559
_cell_length_c 3.6251
_cell_angle_alpha 90.00
_cell_angle_beta 90.00
_cell_angle_gamma 90.00
loop_
_atom_site_label
_atom_site_type_symbol
_atom_site_fract_x
_atom_site_fract_y
_atom_site_fract_z
Te1 Te 0.0000 0.5000 0.0000
Te2 Te 0.5000 0.0000 0.0000
Pt1 Pt 0.0000 0.0000 0.0000
Rh1 Rh 0.5000 0.5000 0.5000
N1 N 0.0000 0.0000 0.5000
# Space group   No. 123
# Offset from the most stable computed form   0.181 eV/atom

=====

[10]
# GGA-PBE TePtRhN2, optimized geometry
data_TePtRhN2
_space_group_name_H-M_alt 'P 1'
_space_group_IT_number 1
_space_group_name_Hall 'P 1'
_cell_length_a 3.7351
_cell_length_b 3.7351
_cell_length_c 7.8409
_cell_angle_alpha 90.00
_cell_angle_beta 90.00
_cell_angle_gamma 90.00
loop_
_atom_site_label
_atom_site_type_symbol
_atom_site_fract_x
_atom_site_fract_y
_atom_site_fract_z
Te1 Te 0.0000 0.0000 0.0000
Pt1 Pt 0.0000 0.0000 0.5000
Rh1 Rh 0.5000 0.5000 0.0000
N1 N 0.0000 0.5000 0.5000
N2 N 0.5000 0.0000 0.5000
# Space group   No. 123
# Offset from the most stable computed form   0.154 eV/atom

=====

[11]
# GGA-PBE Te2PtRhN, optimized geometry
data_Te2PtRhN
_space_group_name_H-M_alt 'P 1'
_space_group_IT_number 1
_space_group_name_Hall 'P 1'
_cell_length_a 5.3671
_cell_length_b 5.3671
_cell_length_c 3.5876
_cell_angle_alpha 90.00
_cell_angle_beta 90.00
_cell_angle_gamma 90.00
loop_
_atom_site_label
_atom_site_type_symbol
_atom_site_fract_x
_atom_site_fract_y
_atom_site_fract_z
Te1 Te 0.0000 0.5000 0.0000
Te2 Te 0.5000 0.0000 0.0000
Pt1 Pt 0.0000 0.0000 0.5000
Rh1 Rh 0.5000 0.5000 0.0000
N1 N 0.5000 0.5000 0.5000
# Space group   No. 123
# Offset from the most stable computed form   0.000 eV/atom

=====

[12]
# GGA-PBE PtRhW2N, optimized geometry
data_PtRhW2N
_space_group_name_H-M_alt 'P 1'
_space_group_IT_number 1
_space_group_name_Hall 'P 1'
_cell_length_a 4.0597
_cell_length_b 4.0597
_cell_length_c 4.1910
_cell_angle_alpha 90.00
_cell_angle_beta 90.00
_cell_angle_gamma 90.00
loop_
_atom_site_label
_atom_site_type_symbol
_atom_site_fract_x
_atom_site_fract_y
_atom_site_fract_z
Pt1 Pt 0.0000 0.0000 0.0000
Rh1 Rh 0.5000 0.5000 0.0000
W1 W 0.0000 0.5000 0.5000
W2 W 0.5000 0.0000 0.5000
N1 N 0.5000 0.5000 0.5000
# Space group   No. 123

=====

| no. | E (eV per atom) |
| --- | --- |
| 1 | -7.783 |
| 2 | -4.972 |
| 3 | -5.134 |
| 4 | -5.567 |
| 5 | -5.454 |
| 6 | -5.607 |
| 7 | -7.733 |
| 8 | -5.596 |
| 9 | -4.896 |
| 10 | -5.442 |
| 11 | -5.076 |
| 12 | -9.597 |